## Pm4Si (PBE)

Data for a relaxed structure of Pm4Si.

Structure (extended XYZ):
```
5
Lattice="-0.759 -2.256 5.109 -1.642 -4.837 -2.380 5.338 -1.809 -0.006" Properties=species:S:1:pos:R:3 pbc="T T T"
Pm -1.201 -3.547 1.364
Pm 0.000 0.000 0.000
Pm 1.848 -3.323 -1.193
Pm 2.290 -2.033 2.551
Si 1.468 -4.451 1.361
```

Results
Space-group type: No. 221
Excess energy over the best structure of this formula in the dataset (meV per atom): 199
Formation energy without anion corrections (eV/f.u.): 0.121